[1]
Compound: Cs3Mo2I9
Source: OQMD via LeMat-Bulk
Functional: GGA-PBE
Structure: optimized geometry

abc: 8.379 8.380 20.420
angles: 90.00 90.00 120.00
Each line ends with the local moment (μB).
Fractional coordinates of all 28 atoms:
Mo: 0.667 0.334 0.177  1.63
Mo: 0.667 0.334 0.323  1.63
Mo: 0.333 0.666 0.677  1.63
Mo: 0.333 0.666 0.823  1.63
Cs: 0.333 0.667 0.436  0.00
Cs: 0.667 0.333 0.936  0.00
Cs: 0.333 0.667 0.064  0.00
Cs: 0.000 0.000 0.250  0.00
Cs: 0.000 0.000 0.750  0.00
Cs: 0.667 0.333 0.564  0.00
I: 0.353 0.177 0.404  0.00
I: 0.823 0.177 0.096  0.00
I: 0.353 0.177 0.096  0.00
I: 0.503 0.497 0.250  0.01
I: 0.823 0.647 0.096  0.00
I: 0.823 0.177 0.404  0.00
I: 0.993 0.497 0.250  0.02
I: 0.497 0.503 0.750  0.01
I: 0.497 0.994 0.750  0.02
I: 0.823 0.647 0.404  0.00
I: 0.503 0.006 0.250  0.02
I: 0.177 0.353 0.596  0.00
I: 0.647 0.823 0.904  0.00
I: 0.177 0.823 0.904  0.00
I: 0.647 0.823 0.596  0.00
I: 0.177 0.353 0.904  0.00
I: 0.177 0.823 0.596  0.00
I: 0.007 0.503 0.750  0.02

Calculated values
The value obtained for the total magnetization is 4.00 μB/f.u. For the total energy, the calculation gives -3.515 eV per atom.

---

[2]
Compound: CsNb6I11
Source: OQMD via LeMat-Bulk
Functional: GGA-PBE
Structure: optimized geometry

abc: 11.339 11.339 12.180
angles: 90.00 90.00 120.01
Each line ends with the local moment (μB).
Fractional coordinates of all 36 atoms:
I: 0.970 0.342 0.842  0.02
I: 0.296 0.296 0.000  0.02
I: 0.333 0.667 0.544  0.04
I: 0.372 0.341 0.658  0.02
I: 0.659 0.628 0.842  0.02
I: 0.704 0.000 0.000  0.02
I: 0.667 0.333 0.456  0.04
I: 0.970 0.628 0.658  0.02
I: 0.667 0.333 0.044  0.04
I: 0.372 0.030 0.842  0.02
I: 0.000 0.704 0.000  0.02
I: 0.030 0.658 0.342  0.02
I: 0.341 0.372 0.342  0.02
I: 0.333 0.667 0.956  0.04
I: 0.628 0.659 0.158  0.01
I: 0.658 0.030 0.658  0.02
I: 0.628 0.970 0.342  0.02
I: 0.000 0.296 0.500  0.02
I: 0.030 0.372 0.158  0.02
I: 0.296 0.000 0.500  0.02
I: 0.342 0.970 0.158  0.01
I: 0.704 0.704 0.500  0.02
Nb: 0.328 0.807 0.347  0.49
Nb: 0.328 0.522 0.153  0.52
Nb: 0.193 0.672 0.153  0.49
Nb: 0.193 0.522 0.347  0.50
Nb: 0.522 0.193 0.653  0.50
Nb: 0.478 0.807 0.153  0.49
Nb: 0.807 0.328 0.653  0.49
Nb: 0.672 0.193 0.847  0.50
Nb: 0.672 0.478 0.653  0.53
Nb: 0.522 0.328 0.847  0.51
Nb: 0.478 0.672 0.347  0.51
Nb: 0.807 0.478 0.847  0.51
Cs: 0.000 0.000 0.250  0.00
Cs: 0.000 0.000 0.750  0.00

Calculated values
The value obtained for the total magnetization is 4.00 μB/f.u. For the total energy, the calculation gives -4.916 eV per atom.

---

[3]
Compound: CsNbI6
Source: OQMD via LeMat-Bulk
Functional: GGA-PBE
Structure: optimized geometry

abc: 7.901 7.901 14.288
angles: 100.16 100.16 55.58
Fractional coordinates of all 16 atoms:
I: 0.526 0.320 0.103
I: 0.210 0.089 0.535
I: 0.474 0.680 0.897
I: 0.622 0.803 0.166
I: 0.197 0.378 0.334
I: 0.089 0.210 0.035
I: 0.803 0.622 0.666
I: 0.378 0.197 0.834
I: 0.320 0.526 0.603
I: 0.680 0.474 0.397
I: 0.911 0.790 0.965
I: 0.790 0.911 0.465
Nb: 0.000 0.500 0.500
Nb: 0.500 0.000 0.000
Cs: 0.911 0.089 0.750
Cs: 0.089 0.911 0.250

Calculated values
The value obtained for the total magnetization is 0.01 μB/f.u. For the total energy, the calculation gives -3.233 eV per atom.

---

[4]
Compound: CsNb4IO5
Source: OQMD via LeMat-Bulk
Functional: GGA-PBE
Structure: optimized geometry

abc: 4.337 4.337 9.670
angles: 90.00 90.00 90.00
Fractional coordinates of all 11 atoms:
Nb: 0.000 0.500 0.000
Nb: 0.500 0.000 0.000
Nb: 0.500 0.500 0.203
Nb: 0.500 0.500 0.797
O: 0.000 0.500 0.215
O: 0.000 0.000 0.000
O: 0.500 0.000 0.785
O: 0.500 0.000 0.215
O: 0.000 0.500 0.785
I: 0.500 0.500 0.500
Cs: 0.000 0.000 0.500

Calculated values
The value obtained for the total magnetization is 0.00 μB/f.u. For the total energy, the calculation gives -7.847 eV per atom.

---

[5]
Compound: Cs3NdI6
Source: OQMD via LeMat-Bulk
Functional: GGA-PBE
Structure: optimized geometry

abc: 9.091 9.723 15.527
angles: 90.00 123.86 90.00
Fractional coordinates of all 20 atoms:
I: 0.764 0.232 0.425
I: 0.670 0.675 0.448
I: 0.905 0.554 0.275
I: 0.670 0.825 0.948
I: 0.236 0.768 0.575
I: 0.330 0.325 0.552
I: 0.764 0.268 0.925
I: 0.095 0.054 0.225
I: 0.236 0.732 0.075
I: 0.905 0.946 0.775
I: 0.095 0.446 0.725
I: 0.330 0.175 0.052
Cs: 0.500 0.500 0.000
Cs: 0.500 0.000 0.500
Cs: 0.709 0.922 0.242
Cs: 0.291 0.422 0.258
Cs: 0.709 0.578 0.742
Cs: 0.291 0.078 0.758
Nd: 0.000 0.000 0.000
Nd: 0.000 0.500 0.500

Calculated values
The value obtained for the total magnetization is 0.00 μB/f.u. For the total energy, the calculation gives -3.187 eV per atom.

---

[6]
Compound: Cs2NiI4
Source: OQMD via LeMat-Bulk
Functional: GGA-PBE
Structure: optimized geometry

abc: 7.762 8.175 11.149
angles: 90.00 109.25 90.00
Each line ends with the local moment (μB).
Fractional coordinates of all 14 atoms:
Cs: 0.716 0.250 0.908  0.00
Cs: 0.284 0.750 0.092  0.00
Cs: 0.836 0.750 0.537  0.00
Cs: 0.164 0.250 0.463  0.00
I: 0.751 0.750 0.862  0.09
I: 0.260 0.995 0.779  0.13
I: 0.249 0.250 0.138  0.09
I: 0.301 0.750 0.469  0.08
I: 0.260 0.505 0.779  0.13
I: 0.740 0.495 0.221  0.13
I: 0.699 0.250 0.531  0.08
I: 0.740 0.005 0.221  0.13
Ni: 0.419 0.750 0.714  1.25
Ni: 0.581 0.250 0.286  1.25

Calculated values
The value obtained for the total magnetization is 2.00 μB/f.u. For the total energy, the calculation gives -2.843 eV per atom.